# 1
First-principles (PBE) data for crystalline Ac2GaCu4Ge3 at its relaxed geometry, as listed in the Alexandria database.

Summary:
**ΔH_f (0 K)**: -0.482 eV/atom
**Crystal system**: tetragonal
**Space-group type**: P-4m2, No. 115

a b c (Å): 4.355 4.355 10.295
angles (deg): 90.00 90.00 90.00
Positions (direct):
Ac1 0.000 0.500 0.245
Ac2 0.500 0.000 0.755
Ga1 0.000 0.000 0.500
Cu1 0.000 0.000 0.000
Cu2 0.000 0.500 0.629
Cu3 0.500 0.000 0.371
Cu4 0.500 0.500 0.000
Ge1 0.000 0.500 0.873
Ge2 0.500 0.000 0.127
Ge3 0.500 0.500 0.500


# 2
First-principles (PBE) data for crystalline KScMn2 at its relaxed geometry, as listed in the Alexandria database.

Summary:
**ΔH_f (0 K)**: 0.728 eV/atom
**Crystal system**: trigonal
**Space-group type**: R-3m, No. 166

a b c (Å): 3.202 3.202 31.729
angles (deg): 90.00 90.00 120.00
Positions (direct):
K1 0.000 0.000 0.000
K2 0.333 0.667 0.667
K3 0.667 0.333 0.333
Sc1 0.000 0.000 0.500
Sc2 0.333 0.667 0.167
Sc3 0.667 0.333 0.833
Mn1 0.000 0.000 0.236
Mn2 0.000 0.000 0.764
Mn3 0.333 0.667 0.430
Mn4 0.333 0.667 0.903
Mn5 0.667 0.333 0.097
Mn6 0.667 0.333 0.570


# 3
First-principles (PBE) data for crystalline LiTa2Ru at its relaxed geometry, as listed in the Alexandria database.

Summary:
**ΔH_f (0 K)**: 0.133 eV/atom
**Crystal system**: monoclinic
**Space-group type**: C2/m, No. 12

a b c (Å): 5.566 8.602 2.794
angles (deg): 90.00 108.13 90.00
Positions (direct):
Li1 0.000 0.000 0.000
Li2 0.500 0.500 0.000
Ta1 0.250 0.250 0.500
Ta2 0.250 0.750 0.500
Ta3 0.750 0.250 0.500
Ta4 0.750 0.750 0.500
Ru1 0.000 0.500 0.000
Ru2 0.500 0.000 0.000


# 4
First-principles (PBE) data for crystalline AcTbInPb at its relaxed geometry, as listed in the Alexandria database.

Summary:
**ΔH_f (0 K)**: -0.401 eV/atom
**Crystal system**: cubic
**Space-group type**: F-43m, No. 216

a b c (Å): 7.976 7.976 7.976
angles (deg): 90.00 90.00 90.00
Positions (direct):
Ac1 0.000 0.000 0.000
Ac2 0.000 0.500 0.500
Ac3 0.500 0.000 0.500
Ac4 0.500 0.500 0.000
Tb1 0.000 0.000 0.500
Tb2 0.000 0.500 0.000
Tb3 0.500 0.000 0.000
Tb4 0.500 0.500 0.500
In1 0.250 0.250 0.750
In2 0.250 0.750 0.250
In3 0.750 0.250 0.250
In4 0.750 0.750 0.750
Pb1 0.250 0.250 0.250
Pb2 0.250 0.750 0.750
Pb3 0.750 0.250 0.750
Pb4 0.750 0.750 0.250